{
  "formula": "Y2InAs",
  "functional": "PBE-GGA",
  "state": "relaxed",
  "polymorph_energy_mev_per_atom": 610,
  "spacegroup": "No. 99",
  "magnetic_moment_mub_per_cell": 0.0,
  "delta_e_f_ev_per_atom": -0.38,
  "total_energy_ev_per_atom": -5.455,
  "lattice_angstrom": [[3.7136, 0.0000, 0.0000], [0.0000, 3.7136, 0.0000], [0.0000, 0.0000, 7.7291]],
  "species": ["Y", "Y", "In", "As"],
  "frac_coords": [[0.0000, 0.0000, 0.0000], [0.5000, 0.5000, 0.3318], [0.5000, 0.5000, 0.7419], [0.0000, 0.0000, 0.5267]]
}